First-principles (GGA-PBE) data for a geometry-optimized KInSb2 structure, as listed in the Alexandria database.

Cell lengths 3.3224, 3.3224, 10.9830 Å; angles 90.00, 90.00, 90.00 degrees
Fractional coordinates of all 4 atoms:
K  0.0000  0.0000  0.0000
In  0.5000  0.5000  0.7326
Sb  0.0000  0.0000  0.5219
Sb  0.5000  0.5000  0.2532

Output
**Symmetry**: No. 99

---

First-principles (GGA-PBE) data for a geometry-optimized KIn3Sb structure, as listed in the Alexandria database.

Cell lengths 5.9434, 5.9434, 5.9434 Å; angles 90.00, 90.00, 90.00 degrees
Fractional coordinates of all 5 atoms:
K  0.0000  0.0000  0.0000
In  0.0000  0.0000  0.5000
In  0.0000  0.5000  0.0000
In  0.5000  0.0000  0.0000
Sb  0.5000  0.5000  0.5000

Output
**Symmetry**: No. 221

---

Volume (Å³ per cell)
121.2 209.9
E_form (uncorrected) (eV per atom)
0.05 0.86